(1)
# SrTl2IO6 PBE optimized geometry
# uncorrected formation energy: -90.5 kJ per mole of atoms
data_SrTl2IO6
_space_group_name_H-M_alt 'R -3 m'
_space_group_IT_number 166
_space_group_name_Hall '-R 3 2"'
_cell_length_a 6.0255
_cell_length_b 6.0255
_cell_length_c 35.3981
_cell_angle_alpha 90.00
_cell_angle_beta 90.00
_cell_angle_gamma 120.00
loop_
_atom_site_label
_atom_site_fract_x
_atom_site_fract_y
_atom_site_fract_z
Sr1 0.0000 0.0000 0.0932
Tl1 0.0000 0.0000 0.1939
Tl2 0.0000 0.0000 0.3468
I1 0.0000 0.0000 0.0000
I2 0.0000 0.0000 0.5000
O1 0.0316 0.5158 0.1973
O2 0.0386 0.5193 0.6345


(2)
# SrTl2IO8 PBE optimized geometry
# uncorrected formation energy: -74.7 kJ per mole of atoms
data_SrTl2IO8
_space_group_name_H-M_alt 'P -1'
_space_group_IT_number 2
_space_group_name_Hall '-P 1'
_cell_length_a 4.8050
_cell_length_b 5.0071
_cell_length_c 7.2102
_cell_angle_alpha 90.02
_cell_angle_beta 90.11
_cell_angle_gamma 91.50
loop_
_atom_site_label
_atom_site_fract_x
_atom_site_fract_y
_atom_site_fract_z
Sr1 0.0000 0.0000 0.0000
Tl1 0.5004 0.5002 0.2614
I1 0.0000 0.0000 0.5000
O1 0.2154 0.8592 0.3038
O2 0.2165 0.8601 0.6966
O3 0.2268 0.4740 0.0001
O4 0.2375 0.3211 0.4997


(3)
# Sr2TlI2O2 PBE optimized geometry
# uncorrected formation energy: -162.9 kJ per mole of atoms
data_Sr2TlI2O2
_space_group_name_H-M_alt 'C 1 2/m 1'
_space_group_IT_number 12
_space_group_name_Hall '-C 2y'
_cell_length_a 13.1807
_cell_length_b 4.2275
_cell_length_c 8.6960
_cell_angle_alpha 90.00
_cell_angle_beta 123.89
_cell_angle_gamma 90.00
loop_
_atom_site_label
_atom_site_fract_x
_atom_site_fract_y
_atom_site_fract_z
Sr1 0.1964 0.0000 0.2885
Tl1 0.0000 0.0000 0.5000
I1 0.0764 0.5000 0.8626
O1 0.1985 0.0000 0.5728


(4)
# Sr2TlIO PBE optimized geometry
# uncorrected formation energy: 15.2 kJ per mole of atoms
data_Sr2TlIO
_space_group_name_H-M_alt 'P 4/m m m'
_space_group_IT_number 123
_space_group_name_Hall '-P 4 2'
_cell_length_a 6.3489
_cell_length_b 6.3489
_cell_length_c 5.9727
_cell_angle_alpha 90.00
_cell_angle_beta 90.00
_cell_angle_gamma 90.00
loop_
_atom_site_label
_atom_site_fract_x
_atom_site_fract_y
_atom_site_fract_z
Sr1 0.0000 0.5000 0.0000
Tl1 0.0000 0.0000 0.0000
I1 0.0000 0.0000 0.5000
O1 0.5000 0.5000 0.5000


no.,total magnetization (μB per formula unit)
1,0.00
2,0.15
3,1.01
4,0.01